# CaCr2Ge (PBE-GGA, optimized geometry)
# - magnetization (μB/f.u.) = 2.01
# - energy relative to the elements (eV per atom) = 0.5328
# - crystal system = tetragonal
data_CaCr2Ge
_chemical_formula_sum 'Ca4 Cr8 Ge4'
_cell_length_a 4.329
_cell_length_b 4.329
_cell_length_c 17.824
_cell_angle_alpha 90.00
_cell_angle_beta 90.00
_cell_angle_gamma 90.00
_symmetry_space_group_name_H-M 'I 41/a m d'
_symmetry_Int_Tables_number 141
loop_
_symmetry_equiv_pos_as_xyz
'x,y,z'
'-x,-y,-z'
'-y+1/4,x+3/4,z+1/4'
'y+1/4,-x+3/4,-z+1/4'
'-x+1/2,-y,z+1/2'
'x+1/2,y,-z+1/2'
'y+1/4,-x+1/4,z+3/4'
'-y+1/4,x+1/4,-z+3/4'
'x,-y,-z'
'-x,y,z'
'-y+1/4,-x+1/4,-z+3/4'
'y+1/4,x+1/4,z+3/4'
'-x+1/2,y,-z+1/2'
'x+1/2,-y,z+1/2'
'y+1/4,x+3/4,-z+1/4'
'-y+1/4,-x+3/4,z+1/4'
'x+1/2,y+1/2,z+1/2'
'-x+1/2,-y+1/2,-z+1/2'
'-y+3/4,x+1/4,z+3/4'
'y+3/4,-x+1/4,-z+3/4'
'-x,-y+1/2,z'
'x,y+1/2,-z'
'y+3/4,-x+3/4,z+1/4'
'-y+3/4,x+3/4,-z+1/4'
'x+1/2,-y+1/2,-z+1/2'
'-x+1/2,y+1/2,z+1/2'
'-y+3/4,-x+3/4,-z+1/4'
'y+3/4,x+3/4,z+1/4'
'-x,y+1/2,-z'
'x,-y+1/2,z'
'y+3/4,x+1/4,-z+3/4'
'-y+3/4,-x+1/4,z+3/4'
loop_
_atom_site_label
_atom_site_type_symbol
_atom_site_fract_x
_atom_site_fract_y
_atom_site_fract_z
Ca1 Ca 0.000 0.250 0.375
Cr1 Cr 0.000 0.000 0.000
Ge1 Ge 0.000 0.250 0.875